# 1
VASP calculation (PBE) on a relaxed structure of Tb2Y2Er3.

The structure in POSCAR format:
```
Tb2Y2Er3
1.0
-2.626 2.110 -0.994
-3.897 -10.384 6.825
-0.298 2.011 5.053
Er Tb Y
3 2 2
Cartesian
-3.604 -2.690 3.787
0.000 0.000 0.000
-3.217 -3.574 7.096
-2.683 0.761 2.468
-4.139 -7.025 8.416
-4.332 -5.936 5.037
-2.489 -0.328 5.847
```

Calculated values
The formation energy comes out at 4.7 kJ/mol of atoms. The theoretical density is 7463 kg/m3. The energy above the lowest structure with this stoichiometry is 0 meV per atom. For the density of states at the Fermi level, the calculation gives 1.831 states/eV per atom. The value obtained for the magnetic moment is 0.00 μB per formula unit.

---

# 2
VASP calculation (PBE) on a relaxed structure of Tb5Y2Er12.

The structure in POSCAR format:
```
Tb5Y2Er12
1.0
9.212 0.000 0.000
-4.606 7.656 1.073
0.000 -1.442 8.396
Er Y Tb
12 2 5
Cartesian
6.363 1.016 5.861
-1.757 5.197 3.608
0.000 -0.064 7.517
0.000 5.819 6.530
4.606 0.395 2.939
1.653 1.956 2.350
2.953 4.258 7.119
-2.953 4.258 7.119
1.757 5.197 3.608
7.559 1.956 2.350
2.849 1.016 5.861
4.606 6.277 1.952
2.993 0.000 0.000
6.219 0.000 0.000
0.000 3.101 8.883
4.606 3.112 0.586
0.000 -0.721 4.198
0.000 2.704 5.300
4.606 3.509 4.169
```

Calculated values
The formation energy comes out at 12.7 kJ/mol of atoms. The theoretical density is 8159 kg/m3. The energy above the lowest structure with this stoichiometry is 7 meV per atom. For the density of states at the Fermi level, the calculation gives 1.412 states/eV per atom. The value obtained for the magnetic moment is 0.00 μB per formula unit.

---

# 3
VASP calculation (PBE) on a relaxed structure of TbYEr2.

The structure in POSCAR format:
```
TbYEr2
1.0
-2.170 0.669 -2.714
-2.563 -2.297 -0.824
-8.788 4.949 5.940
Tb Er Y
1 2 1
Cartesian
0.000 0.000 0.000
-10.144 2.494 1.805
-3.376 0.827 0.596
-6.760 1.661 1.201
```

Calculated values
The formation energy comes out at 2.3 kJ/mol of atoms. The theoretical density is 7739 kg/m3. The energy above the lowest structure with this stoichiometry is 14 meV per atom. For the density of states at the Fermi level, the calculation gives 1.499 states/eV per atom. The value obtained for the magnetic moment is 0.00 μB per formula unit.

---

# 4
VASP calculation (PBE) on a relaxed structure of Tb3Y8Er4.

The structure in POSCAR format:
```
Tb3Y8Er4
1.0
6.726 -0.072 -0.103
-3.245 8.594 1.141
-3.245 -1.914 8.455
Y Er Tb
8 4 3
Cartesian
0.118 5.930 2.918
-1.626 1.751 2.515
-3.245 4.845 3.750
1.862 4.858 6.978
1.875 1.752 2.517
0.118 0.678 6.575
-1.639 4.856 6.976
-3.245 1.835 5.846
0.000 0.000 0.000
-1.623 4.297 0.570
3.363 -0.036 -0.051
-1.623 -0.957 4.228
1.741 4.261 0.519
0.118 3.304 4.747
1.741 -0.993 4.176
```

Calculated values
The formation energy comes out at 39.2 kJ/mol of atoms. The theoretical density is 6189 kg/m3. The energy above the lowest structure with this stoichiometry is 245 meV per atom. For the density of states at the Fermi level, the calculation gives 2.034 states/eV per atom. The value obtained for the magnetic moment is 0.00 μB per formula unit.

---

# 5
VASP calculation (PBE) on a relaxed structure of Tb2Y5Er.

The structure in POSCAR format:
```
Tb2Y5Er
1.0
8.022 3.703 0.053
3.725 7.658 0.048
0.053 0.042 10.996
Y Er Tb
10 2 4
Cartesian
6.055 8.602 1.039
4.550 6.207 8.270
7.706 5.488 10.123
5.546 2.835 6.327
4.173 5.924 4.632
5.745 2.801 10.059
6.254 8.568 4.771
7.249 5.196 2.828
4.094 5.916 0.975
7.627 5.479 6.466
7.319 8.383 8.404
4.480 3.021 2.693
9.281 7.714 4.247
2.725 3.631 9.848
2.519 3.690 6.851
9.075 7.773 1.250
```

Calculated values
The formation energy comes out at 16.5 kJ/mol of atoms. The theoretical density is 5894 kg/m3. The energy above the lowest structure with this stoichiometry is 36 meV per atom. For the density of states at the Fermi level, the calculation gives 1.608 states/eV per atom. The value obtained for the magnetic moment is 0.00 μB per formula unit.

---

# 6
VASP calculation (PBE) on a relaxed structure of TbY6Er8.

The structure in POSCAR format:
```
TbY6Er8
1.0
9.004 0.000 0.000
4.502 7.798 0.000
4.502 2.599 6.823
Y Er Tb
6 8 1
Cartesian
5.026 4.533 0.840
5.914 1.179 0.840
12.982 5.865 5.983
15.443 8.311 5.983
12.094 9.218 5.983
2.566 2.087 0.840
11.753 3.491 3.918
11.857 6.725 2.906
6.152 3.672 3.918
9.004 5.199 1.855
6.256 6.906 2.906
8.900 1.965 2.906
9.004 5.199 4.968
9.108 8.432 3.918
0.000 0.000 0.000
```

Calculated values
The formation energy comes out at 12.1 kJ/mol of atoms. The theoretical density is 7038 kg/m3. The energy above the lowest structure with this stoichiometry is 0 meV per atom. For the density of states at the Fermi level, the calculation gives 1.564 states/eV per atom. The value obtained for the magnetic moment is 0.00 μB per formula unit.

---

# 7
VASP calculation (PBE) on a relaxed structure of Tb5YEr5.

The structure in POSCAR format:
```
Tb5YEr5
1.0
6.025 0.000 0.000
-3.013 5.218 0.000
0.000 0.000 11.580
Tb Er Y
5 5 1
Cartesian
0.000 3.479 3.677
3.013 1.739 9.784
3.013 1.739 1.796
0.000 0.000 0.000
0.000 3.479 7.903
0.000 0.000 3.071
1.512 0.873 5.790
3.013 3.472 5.790
4.514 0.873 5.790
0.000 0.000 8.509
0.000 3.479 0.000
```

Calculated values
The formation energy comes out at 30.6 kJ/mol of atoms. The theoretical density is 7843 kg/m3. The energy above the lowest structure with this stoichiometry is 168 meV per atom. For the density of states at the Fermi level, the calculation gives 1.962 states/eV per atom. The value obtained for the magnetic moment is 0.00 μB per formula unit.

---

# 8
VASP calculation (PBE) on a relaxed structure of Tb6YEr8.

The structure in POSCAR format:
```
Tb6YEr8
1.0
6.455 0.000 0.000
0.000 8.117 -4.686
0.000 0.000 9.372
Tb Er Y
6 8 1
Cartesian
3.817 3.365 1.050
2.639 0.773 3.440
2.639 2.592 6.983
3.817 7.344 1.246
2.639 4.751 3.636
3.817 5.524 -2.297
5.826 5.587 3.011
0.630 0.186 6.344
5.826 2.715 -1.353
0.630 2.529 1.675
1.019 5.411 0.000
5.436 2.706 4.686
0.630 5.402 6.039
5.826 7.931 -1.658
3.228 0.000 0.000
```

Calculated values
The formation energy comes out at 22.9 kJ/mol of atoms. The theoretical density is 8049 kg/m3. The energy above the lowest structure with this stoichiometry is 107 meV per atom. For the density of states at the Fermi level, the calculation gives 1.468 states/eV per atom. The value obtained for the magnetic moment is 0.00 μB per formula unit.

---

# 9
VASP calculation (PBE) on a relaxed structure of Tb3Y2Er9.

The structure in POSCAR format:
```
Tb3Y2Er9
1.0
5.840 0.993 1.846
4.667 11.356 5.864
2.593 3.640 9.413
Y Er Tb
2 9 3
Cartesian
6.451 6.364 9.075
6.344 9.582 7.982
2.451 1.692 2.514
9.317 8.455 9.515
2.855 3.150 5.695
8.141 12.010 14.187
10.166 12.800 11.394
8.523 7.257 6.359
10.859 14.087 14.720
4.911 4.026 2.999
4.496 8.623 10.862
3.215 4.147 9.048
7.227 10.919 11.170
5.703 4.945 6.114
```

Calculated values
The formation energy comes out at 10.9 kJ/mol of atoms. The theoretical density is 8004 kg/m3. For the density of states at the Fermi level, the calculation gives 1.587 states/eV per atom. The value obtained for the magnetic moment is 0.00 μB per formula unit.

---

# 10
VASP calculation (PBE) on a relaxed structure of Tb15Y4Er.

The structure in POSCAR format:
```
Tb15Y4Er
1.0
-1.142 -2.814 4.019
4.513 -2.221 -0.273
9.617 17.687 15.117
Y Tb Er
4 15 1
Cartesian
5.771 10.615 9.073
7.698 14.158 12.101
1.918 3.528 3.016
3.845 7.072 6.044
8.092 14.525 15.627
7.457 8.097 10.945
0.383 0.347 3.509
1.686 -2.518 1.873
8.991 11.276 10.451
10.919 14.822 13.481
3.603 1.009 4.887
3.211 0.644 1.363
5.531 4.555 7.918
2.311 3.893 6.539
9.385 11.642 13.976
5.138 4.189 4.394
4.237 7.436 9.568
6.164 10.980 12.597
7.065 7.733 7.422
0.000 0.000 0.000
```

Calculated values
The formation energy comes out at 1.8 kJ/mol of atoms. The theoretical density is 7555 kg/m3. For the density of states at the Fermi level, the calculation gives 1.352 states/eV per atom. The value obtained for the magnetic moment is 0.00 μB per formula unit.

---

# 11
VASP calculation (PBE) on a relaxed structure of Tb6YEr.

The structure in POSCAR format:
```
Tb6YEr
1.0
5.029 0.000 0.000
0.000 5.029 0.000
0.000 0.000 10.058
Tb Er Y
6 1 1
Cartesian
2.515 2.515 5.029
0.000 2.515 2.502
2.515 0.000 2.502
0.000 2.515 7.556
2.515 0.000 7.556
2.515 2.515 0.000
0.000 0.000 0.000
0.000 0.000 5.029
```

Calculated values
The formation energy comes out at 1.9 kJ/mol of atoms. The theoretical density is 7895 kg/m3. The energy above the lowest structure with this stoichiometry is 0 meV per atom. For the density of states at the Fermi level, the calculation gives 1.499 states/eV per atom. The value obtained for the magnetic moment is 0.00 μB per formula unit.

---

# 12
VASP calculation (PBE) on a relaxed structure of Tb7Y12Er.

The structure in POSCAR format:
```
Tb7Y12Er
1.0
-8.535 1.673 -0.356
0.174 -1.274 8.609
2.403 8.356 0.411
Tb Y Er
7 12 1
Cartesian
-5.342 8.863 5.638
-2.979 4.377 4.332
0.663 2.888 0.878
-2.810 1.281 0.114
-3.147 7.474 8.551
-0.615 -0.108 3.026
-6.620 5.867 7.787
-5.917 2.387 2.483
-0.681 1.946 6.529
-5.276 6.809 2.136
-5.913 5.004 4.919
-2.832 7.420 4.597
-0.041 6.368 6.181
-5.142 2.192 6.894
-3.126 1.335 4.068
-0.815 6.563 1.771
-2.869 4.644 7.376
-3.088 4.111 1.289
-0.044 3.751 3.746
0.000 0.000 0.000
```

Calculated values
The formation energy comes out at 26.8 kJ/mol of atoms. The theoretical density is 5982 kg/m3. The energy above the lowest structure with this stoichiometry is 0 meV per atom. For the density of states at the Fermi level, the calculation gives 0.938 states/eV per atom. The value obtained for the magnetic moment is 0.00 μB per formula unit.